# 1
Compound: RbSrTaNi2
Source: the Alexandria database
Functional: PBE
Structure: optimized geometry

POSCAR file:
```
RbSrTaNi2
1.0
-2.870 -0.740 3.927
-3.318 -3.012 -2.993
2.606 -4.012 1.148
Rb Ni Ta Sr
1 2 1 1
direct
0.000 0.500 0.000
0.000 0.000 0.500
0.500 0.000 0.000
0.500 0.500 0.500
0.000 0.000 0.000
```

N(E_F) = 9.94 states/eV/cell
DFT formation energy = 2.222 eV/atom
DFT total energy = -2.991 eV/atom

# 2
Compound: ZrGaP2Pt
Source: the Alexandria database
Functional: PBE
Structure: optimized geometry

POSCAR file:
```
ZrGaP2Pt
1.0
-0.951 -1.377 -4.369
3.692 -2.759 0.067
-2.635 -3.485 1.672
P Zr Pt Ga
2 1 1 1
direct
0.000 0.000 0.500
0.500 0.000 0.000
0.500 0.500 0.500
0.000 0.500 0.000
0.000 0.000 0.000
```

N(E_F) = 4.05 states/eV/cell
DFT formation energy = 0.407 eV/atom
DFT total energy = -5.280 eV/atom